VASP calculation (GGA-PBE) on a relaxed structure of LiAcFeH6.

abc: 4.6687 4.6687 4.4624
angles: 90.00 90.00 120.00
Positions (direct):
Li1 0.0000 0.0000 0.0000
Ac1 0.6667 0.3333 0.5000
Fe1 0.3333 0.6667 0.0000
H1 0.1868 0.3736 0.2374
H2 0.1868 0.3736 0.7626
H3 0.1868 0.8132 0.2374
H4 0.1868 0.8132 0.7626
H5 0.6264 0.8132 0.2374
H6 0.6264 0.8132 0.7626

---

VASP calculation (GGA-PBE) on a relaxed structure of AcMg2FeH8.

abc: 4.9208 4.4701 5.6116
angles: 90.00 103.15 90.00
Positions (direct):
Ac1 0.0000 0.0000 0.0000
Mg1 0.4379 0.5000 0.7216
Mg2 0.5621 0.5000 0.2784
Fe1 0.5000 0.0000 0.5000
H1 0.2339 0.5000 0.9728
H2 0.2548 0.2382 0.4137
H3 0.2548 0.7618 0.4137
H4 0.4463 0.0000 0.7779
H5 0.5537 0.0000 0.2221
H6 0.7452 0.2382 0.5863
H7 0.7452 0.7618 0.5863
H8 0.7661 0.5000 0.0272

---

VASP calculation (GGA-PBE) on a relaxed structure of NaAcFeH6.

abc: 4.9235 4.9235 4.4501
angles: 90.00 90.00 120.00
Positions (direct):
Na1 0.0000 0.0000 0.0000
Ac1 0.6667 0.3333 0.5102
Fe1 0.3333 0.6667 0.8084
H1 0.0146 0.5073 0.0115
H2 0.1810 0.3620 0.5981
H3 0.1810 0.8190 0.5981
H4 0.4927 0.5073 0.0115
H5 0.4927 0.9854 0.0115
H6 0.6380 0.8190 0.5981

---

VASP calculation (GGA-PBE) on a relaxed structure of Ac2FeNiH6.

abc: 5.3776 5.3776 5.3911
angles: 119.88 119.88 90.03
Positions (direct):
Ac1 0.2499 0.7501 0.0000
Ac2 0.7501 0.2499 0.0000
Fe1 0.0000 0.0000 0.5000
Ni1 0.5000 0.5000 0.5000
H1 0.2207 0.2207 0.9426
H2 0.2233 0.2233 0.4984
H3 0.2234 0.7766 0.5000
H4 0.7766 0.2234 0.5000
H5 0.7767 0.7767 0.5016
H6 0.7793 0.7793 0.0574

---

Computed E_tot, in the same sequence as the records: -4.197; -3.871; -4.131; -4.590 eV per atom.